(i)
Compound: KLiP2S
Source: the Alexandria database
Functional: PBE
Structure: optimized geometry

Properties
Its space group is P4/mmm. Its size of the total moment is 0.00 Bohr magnetons per cell.

a b c (Å): 4.538 4.538 4.934
angles (deg): 90.00 90.00 90.00
Fractional coordinates of all 5 atoms:
P: 0.000 0.500 0.000
P: 0.500 0.000 0.000
K: 0.500 0.500 0.500
S: 0.000 0.000 0.500
Li: 0.000 0.000 0.000

***

(ii)
Compound: KLiP2S
Source: the Alexandria database
Functional: PBE
Structure: optimized geometry

Properties
Its space group is P4/mmm. Its size of the total moment is 1.93 Bohr magnetons per cell.

a b c (Å): 5.526 5.526 5.575
angles (deg): 90.00 90.00 90.00
Site moments in Bohr magnetons follow the coordinates.
Fractional coordinates of all 5 atoms:
P: 0.000 0.500 0.000  0.43
P: 0.500 0.000 0.000  0.43
K: 0.000 0.000 0.000  0.04
S: 0.000 0.000 0.500  -0.05
Li: 0.500 0.500 0.500  0.00

***

Stability check: which of them is least stable? (ii).

***

(i)
Compound: KLiPS2
Source: the Alexandria database
Functional: PBE
Structure: optimized geometry

Properties
Its space group is P4/mmm. Its size of the total moment is 5.04 Bohr magnetons per cell.

a b c (Å): 5.788 5.788 6.017
angles (deg): 90.00 90.00 90.00
Site moments in Bohr magnetons follow the coordinates.
Fractional coordinates of all 5 atoms:
P: 0.000 0.000 0.500  1.08
K: 0.000 0.000 0.000  0.05
S: 0.000 0.500 0.000  0.72
S: 0.500 0.000 0.000  0.72
Li: 0.500 0.500 0.500  0.00

***

(ii)
Compound: KLiPS2
Source: the Alexandria database
Functional: PBE
Structure: optimized geometry

Properties
Its space group is Cmme. Its size of the total moment is 0.57 Bohr magnetons per cell.

a b c (Å): 6.224 4.973 7.455
angles (deg): 109.48 90.00 90.00
Site moments in Bohr magnetons follow the coordinates.
Fractional coordinates of all 10 atoms:
K: 0.247 0.750 0.500  0.00
K: 0.753 0.250 0.500  0.00
Li: 0.500 0.750 0.000  0.00
Li: 0.500 0.250 0.000  0.00
P: 0.000 0.000 0.000  0.09
P: 0.000 0.500 0.000  0.09
S: 0.729 0.891 0.782  0.03
S: 0.729 0.609 0.218  0.03
S: 0.271 0.391 0.782  0.03
S: 0.271 0.109 0.218  0.03

***

Stability check: which of them is least stable? (i).